Record 1
Compound: Ba2TaMn
Source: Alexandria via LeMat-Bulk
Functional: PBE
Structure: relaxed

POSCAR file:
```
Ba2TaMn
1.0
3.5542 -0.0104 0.0000
0.0108 3.5542 0.0000
0.0000 0.0000 9.9820
Ba Mn Ta
2 1 1
Cartesian
0.0000 0.0000 9.2855
1.7825 1.7719 3.2807
0.0000 0.0000 5.7792
1.7825 1.7719 6.6096
```

Calculated values
For the energy above the lowest structure with this stoichiometry, the calculation gives 0 meV per atom. Its formation energy is 0.5851 eV/atom. For the density of states at the Fermi level, the calculation gives 6.06 states/eV per cell. The value obtained for the final energy is -22.53 eV per cell.

Record 2
Compound: Ba2TaMn
Source: Alexandria via LeMat-Bulk
Functional: PBE
Structure: relaxed

POSCAR file:
```
Ba2TaMn
1.0
-1.3205 3.0700 -0.4919
-0.8415 0.1494 3.2680
9.3757 4.3875 2.2138
Ba Mn Ta
2 1 1
Cartesian
9.3641 4.3820 2.2110
4.6995 2.1992 1.1096
1.2629 2.7065 1.9415
5.9508 4.9003 3.0484
```

Calculated values
For the energy above the lowest structure with this stoichiometry, the calculation gives 564 meV per atom. Its formation energy is 1.1492 eV/atom. For the density of states at the Fermi level, the calculation gives 5.77 states/eV per cell. The value obtained for the final energy is -20.27 eV per cell.